Record 1
This record from the Open Quantum Materials Database describes a relaxed structure of BaNb2Ir. The functional is GGA-PBE.

a b c (Å): 6.9334 6.9334 6.9334
angles (deg): 90.00 90.00 90.00
With the nearest neighbours (Å) after each atom.
Positions (direct):
Ba (0.0000, 0.0000, 0.0000)  4 Ir 3.00, 4 Nb 3.00
Ba (0.0000, 0.5000, 0.5000)  4 Ir 3.00, 4 Nb 3.00
Ba (0.5000, 0.0000, 0.5000)  4 Ir 3.00, 4 Nb 3.00
Ba (0.5000, 0.5000, 0.0000)  4 Ir 3.00, 4 Nb 3.00
Nb (0.0000, 0.0000, 0.5000)  4 Nb 3.00, 4 Ir 3.00
Nb (0.0000, 0.5000, 0.0000)  4 Nb 3.00, 4 Ir 3.00
Nb (0.2500, 0.2500, 0.7500)  4 Ba 3.00, 4 Nb 3.00
Nb (0.2500, 0.7500, 0.2500)  4 Ba 3.00, 4 Nb 3.00
Nb (0.5000, 0.0000, 0.0000)  4 Nb 3.00, 4 Ir 3.00
Nb (0.5000, 0.5000, 0.5000)  4 Nb 3.00, 4 Ir 3.00
Nb (0.7500, 0.2500, 0.2500)  4 Ba 3.00, 4 Nb 3.00
Nb (0.7500, 0.7500, 0.7500)  4 Ba 3.00, 4 Nb 3.00
Ir (0.2500, 0.2500, 0.2500)  4 Ba 3.00, 4 Nb 3.00
Ir (0.2500, 0.7500, 0.7500)  4 Nb 3.00, 4 Ba 3.00
Ir (0.7500, 0.2500, 0.7500)  4 Nb 3.00, 4 Ba 3.00
Ir (0.7500, 0.7500, 0.2500)  4 Nb 3.00, 4 Ba 3.00

* theoretical density: 10.3 Mg/m³
* symmetry: No. 216
* V: 20.83 A^3/atom

Record 2
This record from the Open Quantum Materials Database describes a relaxed structure of BaNdIr. The functional is GGA-PBE.

a b c (Å): 7.2521 7.2521 7.2521
angles (deg): 90.00 90.00 90.00
With the nearest neighbours (Å) after each atom.
Positions (direct):
Ba (0.0000, 0.0000, 0.0000)  4 Ir 3.14
Ba (0.0000, 0.5000, 0.5000)  4 Ir 3.14
Ba (0.5000, 0.0000, 0.5000)  4 Ir 3.14
Ba (0.5000, 0.5000, 0.0000)  4 Ir 3.14
Nd (0.0000, 0.0000, 0.5000)  4 Ir 3.14
Nd (0.0000, 0.5000, 0.0000)  4 Ir 3.14
Nd (0.5000, 0.0000, 0.0000)  4 Ir 3.14
Nd (0.5000, 0.5000, 0.5000)  4 Ir 3.14
Ir (0.2500, 0.2500, 0.7500)  4 Ba 3.14, 4 Nd 3.14
Ir (0.2500, 0.7500, 0.2500)  4 Ba 3.14, 4 Nd 3.14
Ir (0.7500, 0.2500, 0.2500)  4 Ba 3.14, 4 Nd 3.14
Ir (0.7500, 0.7500, 0.7500)  4 Ba 3.14, 4 Nd 3.14

* theoretical density: 8.3 Mg/m³
* symmetry: No. 216
* V: 31.78 A^3/atom

Record 3
This record from the Open Quantum Materials Database describes a relaxed structure of Ba2NiIr. The functional is GGA-PBE.

a b c (Å): 4.3193 4.3193 25.8885
angles (deg): 90.00 90.00 120.00
With the nearest neighbours (Å) after each atom.
Positions (direct):
Ba (0.0000, 0.0000, 0.0000)  3 Ni 3.24, 3 Ir 3.24
Ba (0.0000, 0.0000, 0.1594)  3 Ir 3.24, 3 Ni 3.24
Ba (0.3333, 0.6667, 0.6667)  3 Ni 3.24, 3 Ir 3.24
Ba (0.3333, 0.6667, 0.8260)  3 Ir 3.24, 3 Ni 3.24
Ba (0.6667, 0.3333, 0.3333)  3 Ni 3.24, 3 Ir 3.24
Ba (0.6667, 0.3333, 0.4927)  3 Ir 3.24, 3 Ni 3.24
Ni (0.0000, 0.0000, 0.4130)  3 Ir 2.49
Ni (0.3333, 0.6667, 0.0796)  3 Ir 2.49
Ni (0.6667, 0.3333, 0.7463)  3 Ir 2.49
Ir (0.0000, 0.0000, 0.7464)  3 Ni 2.49
Ir (0.3333, 0.6667, 0.4130)  3 Ni 2.49
Ir (0.6667, 0.3333, 0.0797)  3 Ni 2.49

* theoretical density: 6.3 Mg/m³
* symmetry: No. 160
* V: 34.86 A^3/atom

Number 1: final energy -0.51095 Ry/atom. Number 2: final energy -0.39533 Ry/atom. Number 3: final energy -0.34724 Ry/atom.